(1)
NbAl2V8 after structural relaxation. Source: Alexandria via LeMat-Bulk, functional PBE-GGA.

## Properties
symmetry = C2/m, No. 12
density = 5.9 Mg/m³
E = -8.29 eV per atom

Cell: 4.186 5.174 7.528 Å, 90.09 106.14 90.00°
Atoms (fractional coordinates):
Al (0.775, 0.351, 0.550)
V (0.408, 0.542, 0.816)
Nb (0.500, 0.000, 0.000)
V (0.044, 0.720, 0.088)
V (0.857, 0.819, 0.715)
V (0.678, 0.924, 0.356)
Al (0.225, 0.649, 0.450)
V (0.322, 0.076, 0.644)
V (0.143, 0.181, 0.285)
V (0.956, 0.280, 0.912)
V (0.592, 0.458, 0.184)

(2)
NbAlV after structural relaxation. Source: Alexandria via LeMat-Bulk, functional PBE-GGA.

## Properties
symmetry = Imma, No. 74
E above lowest polymorph = 0.00 eV per formula unit
density = 6.0 Mg/m³
E = -7.86 eV per atom

Cell: 5.146 5.146 5.146 Å, 87.98 119.36 123.02°
Atoms (fractional coordinates):
Nb (0.750, 0.870, 0.620)
V (0.500, 0.000, 0.000)
Al (0.500, 0.500, 0.000)
Nb (0.250, 0.130, 0.380)
Al (0.000, 0.500, 0.500)
V (0.000, 0.500, 0.000)

(3)
Nb2Al2V after structural relaxation. Source: Alexandria via LeMat-Bulk, functional PBE-GGA.

## Properties
symmetry = P4/mbm, No. 127
density = 5.9 Mg/m³
E = -7.54 eV per atom

Cell: 6.821 6.821 3.544 Å, 90.00 90.00 90.00°
Atoms (fractional coordinates):
Nb (0.827, 0.327, 0.500)
Nb (0.173, 0.673, 0.500)
V (0.000, 0.000, 0.000)
Al (0.129, 0.371, 0.000)
Al (0.629, 0.129, 0.000)
Nb (0.673, 0.827, 0.500)
Nb (0.327, 0.173, 0.500)
Al (0.871, 0.629, 0.000)
V (0.500, 0.500, 0.000)
Al (0.371, 0.871, 0.000)